(1)
First-principles (PBE) data for a geometry-optimized As2PbBrCl structure, as listed in Alexandria.

DOS(E_F), states/eV per atom: 0.707
DFT total energy, eV per formula unit: -14.2
Mass density, g cm⁻³: 5.36
Energy above the lowest structure with this stoichiometry, eV/atom: 0.000
Raw formation energy, eV/atom: 0.472
V, Å³/cell: 146

```
data_As2PbBrCl
_chemical_formula_sum 'As2 Pb1 Br1 Cl1'
_symmetry_space_group_name_H-M 'P 1'
_symmetry_Int_Tables_number 1
_cell_length_a 4.780
_cell_length_b 4.780
_cell_length_c 6.404
_cell_angle_alpha 90.00
_cell_angle_beta 90.00
_cell_angle_gamma 90.00
loop_
_symmetry_equiv_pos_as_xyz
'x,y,z'
loop_
_atom_site_label
_atom_site_type_symbol
_atom_site_fract_x
_atom_site_fract_y
_atom_site_fract_z
_atom_site_occupancy
As1 As 0.000 0.500 0.000 1
As2 As 0.500 0.000 0.000 1
Pb1 Pb 0.000 0.000 0.500 1
Br1 Br 0.500 0.500 0.500 1
Cl1 Cl 0.500 0.500 0.000 1
```


(2)
First-principles (PBE) data for a geometry-optimized PuPaN3 structure, as listed in Alexandria.

DOS(E_F), states/eV per atom: 1.067
DFT total energy, eV per formula unit: -54.8
Mass density, g cm⁻³: 11.69
Raw formation energy, eV/atom: -1.205
V, Å³/cell: 147

```
data_PuPaN3
_chemical_formula_sum 'Pu2 Pa2 N6'
_symmetry_space_group_name_H-M 'P 1'
_symmetry_Int_Tables_number 1
_cell_length_a 5.848
_cell_length_b 5.848
_cell_length_c 5.848
_cell_angle_alpha 61.74
_cell_angle_beta 61.74
_cell_angle_gamma 61.74
loop_
_symmetry_equiv_pos_as_xyz
'x,y,z'
loop_
_atom_site_label
_atom_site_type_symbol
_atom_site_fract_x
_atom_site_fract_y
_atom_site_fract_z
_atom_site_occupancy
Pu1 Pu 0.000 0.000 0.000 1
Pu2 Pu 0.500 0.500 0.500 1
Pa1 Pa 0.250 0.250 0.250 1
Pa2 Pa 0.750 0.750 0.750 1
N1 N 0.114 0.750 0.386 1
N2 N 0.250 0.614 0.886 1
N3 N 0.386 0.114 0.750 1
N4 N 0.614 0.886 0.250 1
N5 N 0.750 0.386 0.114 1
N6 N 0.886 0.250 0.614 1
```


(3)
First-principles (PBE) data for a geometry-optimized Tm3Lu5H12 structure, as listed in Alexandria.

DOS(E_F), states/eV per atom: 0.442
DFT total energy, eV per formula unit: -85.5
Mass density, g cm⁻³: 9.03
V, Å³/cell: 1026

```
data_Tm3Lu5H12
_chemical_formula_sum 'Tm12 Lu20 H48'
_symmetry_space_group_name_H-M 'P 1'
_symmetry_Int_Tables_number 1
_cell_length_a 11.004
_cell_length_b 11.004
_cell_length_c 11.004
_cell_angle_alpha 109.47
_cell_angle_beta 109.47
_cell_angle_gamma 109.47
loop_
_symmetry_equiv_pos_as_xyz
'x,y,z'
loop_
_atom_site_label
_atom_site_type_symbol
_atom_site_fract_x
_atom_site_fract_y
_atom_site_fract_z
_atom_site_occupancy
Tm1 Tm 0.125 0.250 0.375 1
Tm2 Tm 0.125 0.375 0.750 1
Tm3 Tm 0.250 0.375 0.125 1
Tm4 Tm 0.250 0.875 0.625 1
Tm5 Tm 0.375 0.125 0.250 1
Tm6 Tm 0.375 0.750 0.125 1
Tm7 Tm 0.625 0.250 0.875 1
Tm8 Tm 0.625 0.875 0.750 1
Tm9 Tm 0.750 0.125 0.375 1
Tm10 Tm 0.750 0.625 0.875 1
Tm11 Tm 0.875 0.625 0.250 1
Tm12 Tm 0.875 0.750 0.625 1
Lu1 Lu 0.000 0.000 0.000 1
Lu2 Lu 0.000 0.000 0.500 1
Lu3 Lu 0.000 0.500 0.000 1
Lu4 Lu 0.000 0.500 0.500 1
Lu5 Lu 0.125 0.750 0.875 1
Lu6 Lu 0.125 0.875 0.250 1
Lu7 Lu 0.250 0.125 0.875 1
Lu8 Lu 0.250 0.625 0.375 1
Lu9 Lu 0.375 0.250 0.625 1
Lu10 Lu 0.375 0.625 0.750 1
Lu11 Lu 0.500 0.000 0.000 1
Lu12 Lu 0.500 0.000 0.500 1
Lu13 Lu 0.500 0.500 0.000 1
Lu14 Lu 0.500 0.500 0.500 1
Lu15 Lu 0.625 0.375 0.250 1
Lu16 Lu 0.625 0.750 0.375 1
Lu17 Lu 0.750 0.375 0.625 1
Lu18 Lu 0.750 0.875 0.125 1
Lu19 Lu 0.875 0.125 0.750 1
Lu20 Lu 0.875 0.250 0.125 1
H1 H 0.064 0.222 0.154 1
H2 H 0.064 0.342 0.910 1
H3 H 0.067 0.722 0.658 1
H4 H 0.067 0.846 0.410 1
H5 H 0.090 0.654 0.433 1
H6 H 0.090 0.936 0.658 1
H7 H 0.154 0.064 0.222 1
H8 H 0.154 0.590 0.933 1
H9 H 0.158 0.222 0.567 1
H10 H 0.158 0.436 0.590 1
H11 H 0.222 0.154 0.064 1
H12 H 0.222 0.567 0.158 1
H13 H 0.278 0.342 0.933 1
H14 H 0.278 0.436 0.346 1
H15 H 0.342 0.910 0.064 1
H16 H 0.342 0.933 0.278 1
H17 H 0.346 0.278 0.436 1
H18 H 0.346 0.567 0.910 1
H19 H 0.410 0.067 0.846 1
H20 H 0.410 0.842 0.564 1
H21 H 0.433 0.090 0.654 1
H22 H 0.433 0.842 0.778 1
H23 H 0.436 0.346 0.278 1
H24 H 0.436 0.590 0.158 1
H25 H 0.564 0.410 0.842 1
H26 H 0.564 0.654 0.722 1
H27 H 0.567 0.158 0.222 1
H28 H 0.567 0.910 0.346 1
H29 H 0.590 0.158 0.436 1
H30 H 0.590 0.933 0.154 1
H31 H 0.654 0.433 0.090 1
H32 H 0.654 0.722 0.564 1
H33 H 0.658 0.067 0.722 1
H34 H 0.658 0.090 0.936 1
H35 H 0.722 0.564 0.654 1
H36 H 0.722 0.658 0.067 1
H37 H 0.778 0.433 0.842 1
H38 H 0.778 0.846 0.936 1
H39 H 0.842 0.564 0.410 1
H40 H 0.842 0.778 0.433 1
H41 H 0.846 0.410 0.067 1
H42 H 0.846 0.936 0.778 1
H43 H 0.910 0.064 0.342 1
H44 H 0.910 0.346 0.567 1
H45 H 0.933 0.154 0.590 1
H46 H 0.933 0.278 0.342 1
H47 H 0.936 0.658 0.090 1
H48 H 0.936 0.778 0.846 1
```


(4)
First-principles (PBE) data for a geometry-optimized Ho6HgTe3 structure, as listed in Alexandria.

DOS(E_F), states/eV per atom: 0.856
DFT total energy, eV per formula unit: -45.1
Mass density, g cm⁻³: 8.80
Raw formation energy, eV/atom: -0.787
V, Å³/cell: 594

```
data_Ho6HgTe3
_chemical_formula_sum 'Ho12 Hg2 Te6'
_symmetry_space_group_name_H-M 'P 1'
_symmetry_Int_Tables_number 1
_cell_length_a 12.045
_cell_length_b 3.989
_cell_length_c 12.726
_cell_angle_alpha 90.00
_cell_angle_beta 103.87
_cell_angle_gamma 90.00
loop_
_symmetry_equiv_pos_as_xyz
'x,y,z'
loop_
_atom_site_label
_atom_site_type_symbol
_atom_site_fract_x
_atom_site_fract_y
_atom_site_fract_z
_atom_site_occupancy
Ho1 Ho 0.013 0.250 0.349 1
Ho2 Ho 0.083 0.250 0.885 1
Ho3 Ho 0.251 0.750 0.298 1
Ho4 Ho 0.289 0.750 0.756 1
Ho5 Ho 0.384 0.250 0.535 1
Ho6 Ho 0.444 0.750 0.126 1
Ho7 Ho 0.556 0.250 0.874 1
Ho8 Ho 0.616 0.750 0.465 1
Ho9 Ho 0.711 0.250 0.244 1
Ho10 Ho 0.749 0.250 0.702 1
Ho11 Ho 0.917 0.750 0.115 1
Ho12 Ho 0.987 0.750 0.651 1
Hg1 Hg 0.459 0.250 0.313 1
Hg2 Hg 0.541 0.750 0.687 1
Te1 Te 0.113 0.250 0.136 1
Te2 Te 0.170 0.750 0.512 1
Te3 Te 0.340 0.250 0.949 1
Te4 Te 0.660 0.750 0.051 1
Te5 Te 0.830 0.250 0.488 1
Te6 Te 0.887 0.750 0.864 1
```


(5)
First-principles (PBE) data for a geometry-optimized CePu2Pa3As6 structure, as listed in Alexandria.

DOS(E_F), states/eV per atom: 2.180
DFT total energy, eV per formula unit: -104.5
DFT formation energy, kJ/mol of formula units: -1302
Mass density, g cm⁻³: 9.84
V, Å³/cell: 299

```
data_CePu2Pa3As6
_chemical_formula_sum 'Ce1 Pu2 Pa3 As6'
_symmetry_space_group_name_H-M 'P 1'
_symmetry_Int_Tables_number 1
_cell_length_a 7.151
_cell_length_b 7.151
_cell_length_c 7.159
_cell_angle_alpha 99.59
_cell_angle_beta 99.59
_cell_angle_gamma 120.00
loop_
_symmetry_equiv_pos_as_xyz
'x,y,z'
loop_
_atom_site_label
_atom_site_type_symbol
_atom_site_fract_x
_atom_site_fract_y
_atom_site_fract_z
_atom_site_occupancy
Ce1 Ce 0.000 0.000 0.000 1
Pu1 Pu 0.333 0.667 0.000 1
Pu2 Pu 0.667 0.333 0.000 1
Pa1 Pa 0.166 0.834 0.500 1
Pa2 Pa 0.500 0.500 0.500 1
Pa3 Pa 0.834 0.166 0.500 1
As1 As 0.085 0.421 0.256 1
As2 As 0.251 0.251 0.745 1
As3 As 0.421 0.085 0.256 1
As4 As 0.579 0.915 0.744 1
As5 As 0.749 0.749 0.255 1
As6 As 0.915 0.579 0.744 1
```


(6)
First-principles (PBE) data for a geometry-optimized TlZn2Cl structure, as listed in Alexandria.

DOS(E_F), states/eV per atom: 0.375
DFT total energy, eV per formula unit: -7.1
Mass density, g cm⁻³: 6.40
Energy above the lowest structure with this stoichiometry, eV/atom: 0.142
Raw formation energy, eV/atom: -0.092
V, Å³/cell: 96

```
data_TlZn2Cl
_chemical_formula_sum 'Tl1 Zn2 Cl1'
_symmetry_space_group_name_H-M 'P 1'
_symmetry_Int_Tables_number 1
_cell_length_a 7.705
_cell_length_b 7.705
_cell_length_c 7.705
_cell_angle_alpha 29.18
_cell_angle_beta 29.18
_cell_angle_gamma 29.18
loop_
_symmetry_equiv_pos_as_xyz
'x,y,z'
loop_
_atom_site_label
_atom_site_type_symbol
_atom_site_fract_x
_atom_site_fract_y
_atom_site_fract_z
_atom_site_occupancy
Tl1 Tl 0.000 0.000 0.000 1
Zn1 Zn 0.247 0.247 0.247 1
Zn2 Zn 0.753 0.753 0.753 1
Cl1 Cl 0.500 0.500 0.500 1
```